1.
Crystalline KV2Te2 at its relaxed geometry, computed with PBE-GGA.

Cell and atoms, written as POSCAR:
```
KV2Te2
1.0
-0.818 3.750 0.310
-2.389 -0.763 2.923
4.729 2.427 7.036
K V Te
1 2 2
Direct
0.000 0.000 0.000 K
0.750 0.250 0.500 V
0.250 0.750 0.500 V
0.638 0.638 0.725 Te
0.362 0.362 0.275 Te
```

Results
E_tot = -5.56 eV/atom
Energy relative to the elements, uncorrected = -2.20 eV/f.u.

2.
Crystalline K3V5Te12 at its relaxed geometry, computed with PBE-GGA.

Cell and atoms, written as POSCAR:
```
K3V5Te12
1.0
15.167 0.000 0.000
-5.056 14.300 0.000
-5.056 -7.150 12.384
K V Te
12 20 48
Direct
0.750 0.375 0.125 K
0.875 0.125 0.250 K
0.750 0.875 0.625 K
0.375 0.625 0.250 K
0.875 0.750 0.125 K
0.125 0.250 0.875 K
0.625 0.375 0.750 K
0.250 0.625 0.875 K
0.125 0.875 0.750 K
0.250 0.125 0.375 K
0.625 0.250 0.375 K
0.375 0.750 0.625 K
0.000 0.000 0.500 V
0.125 0.750 0.375 V
0.500 0.500 0.000 V
0.875 0.625 0.750 V
0.875 0.250 0.625 V
0.750 0.125 0.875 V
0.000 0.000 0.000 V
0.125 0.375 0.250 V
0.250 0.375 0.625 V
0.500 0.000 0.500 V
0.375 0.250 0.125 V
0.250 0.875 0.125 V
0.625 0.750 0.875 V
0.000 0.500 0.000 V
0.500 0.500 0.500 V
0.625 0.875 0.250 V
0.500 0.000 0.000 V
0.000 0.500 0.500 V
0.375 0.125 0.750 V
0.750 0.625 0.375 V
0.695 0.099 0.008 Te
0.992 0.591 0.187 Te
0.492 0.805 0.901 Te
0.313 0.805 0.404 Te
0.596 0.901 0.409 Te
0.404 0.099 0.591 Te
0.305 0.404 0.813 Te
0.992 0.401 0.305 Te
0.599 0.591 0.904 Te
0.187 0.091 0.992 Te
0.096 0.909 0.401 Te
0.813 0.909 0.008 Te
0.813 0.904 0.305 Te
0.909 0.096 0.901 Te
0.904 0.091 0.599 Te
0.401 0.409 0.096 Te
0.091 0.187 0.492 Te
0.591 0.599 0.404 Te
0.904 0.813 0.805 Te
0.008 0.409 0.813 Te
0.096 0.187 0.195 Te
0.687 0.195 0.596 Te
0.187 0.096 0.695 Te
0.805 0.492 0.401 Te
0.008 0.599 0.695 Te
0.599 0.008 0.195 Te
0.909 0.813 0.508 Te
0.401 0.992 0.805 Te
0.508 0.195 0.099 Te
0.195 0.508 0.599 Te
0.305 0.901 0.992 Te
0.195 0.687 0.096 Te
0.313 0.508 0.409 Te
0.091 0.904 0.099 Te
0.492 0.687 0.091 Te
0.901 0.305 0.492 Te
0.596 0.695 0.687 Te
0.687 0.492 0.591 Te
0.805 0.313 0.904 Te
0.404 0.305 0.313 Te
0.409 0.008 0.313 Te
0.099 0.404 0.091 Te
0.409 0.401 0.596 Te
0.695 0.596 0.187 Te
0.591 0.992 0.687 Te
0.099 0.695 0.508 Te
0.508 0.313 0.909 Te
0.901 0.596 0.909 Te
```

Results
E_tot = -4.64 eV/atom
Energy relative to the elements, uncorrected = -6.17 eV/f.u.

3.
Crystalline K2V3Te6 at its relaxed geometry, computed with PBE-GGA.

Cell and atoms, written as POSCAR:
```
K2V3Te6
1.0
-4.012 5.448 1.134
-5.193 -0.405 4.322
3.655 4.372 6.743
K Te V
2 6 3
Direct
0.840 0.319 0.500 K
0.160 0.681 0.500 K
0.917 0.678 0.194 Te
0.595 0.322 0.194 Te
0.281 0.000 0.170 Te
0.719 0.000 0.830 Te
0.405 0.678 0.806 Te
0.083 0.322 0.806 Te
0.688 0.625 0.000 V
0.000 0.000 0.000 V
0.312 0.375 0.000 V
```

Results
E_tot = -4.92 eV/atom
Energy relative to the elements, uncorrected = -5.75 eV/f.u.

Repeat the first record exactly.
Crystalline KV2Te2 at its relaxed geometry, computed with PBE-GGA.

Cell and atoms, written as POSCAR:
```
KV2Te2
1.0
-0.818 3.750 0.310
-2.389 -0.763 2.923
4.729 2.427 7.036
K V Te
1 2 2
Direct
0.000 0.000 0.000 K
0.750 0.250 0.500 V
0.250 0.750 0.500 V
0.638 0.638 0.725 Te
0.362 0.362 0.275 Te
```

Results
E_tot = -5.56 eV/atom
Energy relative to the elements, uncorrected = -2.20 eV/f.u.

Q: Number 1 is which compound?
A: KV2Te2

Q: What is the E_tot in the third record?
A: -4.92 eV/atom

Q: Which formula does entry 1 have?
A: KV2Te2